# 1
Below is BaNa2ZrF8 after structural relaxation, with properties calculated at the PBE level.

Geometry as POSCAR:
```
BaNa2ZrF8
1.0
-3.6833 -0.3585 1.3952
0.2416 -5.6878 -1.1222
2.9336 -1.3378 7.4001
F Na Zr Ba
8 2 1 1
direct
0.4989 0.7998 0.0001
0.4923 0.7253 0.5001
0.9979 0.7713 0.8003
0.5077 0.2747 0.4999
0.0021 0.2287 0.1997
0.0021 0.2287 0.8002
0.9979 0.7713 0.1998
0.5011 0.2002 0.9999
0.4999 0.5001 0.2564
0.5001 0.4999 0.7436
0.0000 0.0000 0.0000
0.0000 0.0000 0.5000
```

total magnetic moment: 0.0 μB/cell
formation energy (no corrections): -40.700 eV per formula unit

# 2
Below is BaNaZr2F11 after structural relaxation, with properties calculated at the PBE level.

Geometry as POSCAR:
```
BaNaZr2F11
1.0
-4.2679 5.8971 4.1687
-5.3107 0.7185 -6.4536
-2.2012 -11.7677 5.9531
F Na Zr Ba
44 4 8 4
direct
0.5356 0.1030 0.8478
0.0959 0.7285 0.5980
0.9375 0.1278 0.4983
0.7371 0.5341 0.8432
0.2276 0.0117 0.6023
0.4659 0.8940 0.1568
0.8406 0.9776 0.1023
0.0224 0.7383 0.8977
0.9883 0.6253 0.3977
0.3778 0.3108 0.9983
0.5590 0.4871 0.3432
0.8753 0.1594 0.8977
0.8970 0.6878 0.1522
0.1195 0.8459 0.0980
0.5016 0.0016 0.0033
0.9984 0.4984 0.9967
0.1060 0.3090 0.8432
0.7841 0.8560 0.3432
0.6296 0.0625 0.5017
0.2617 0.1247 0.1023
0.5608 0.3704 0.4983
0.3122 0.7448 0.8478
0.1440 0.4410 0.6568
0.2552 0.4644 0.1522
0.1541 0.0215 0.9020
0.3747 0.5906 0.6023
0.5021 0.8695 0.5980
0.3125 0.6222 0.0017
0.6204 0.6875 0.9983
0.6892 0.3796 0.0017
0.9785 0.2521 0.0980
0.8722 0.4392 0.5017
0.1305 0.9041 0.4020
0.9948 0.2856 0.3478
0.4094 0.7724 0.3977
0.2715 0.4979 0.4020
0.5129 0.2159 0.6568
0.3530 0.0622 0.3478
0.9378 0.0052 0.6522
0.7484 0.7484 0.4967
0.7479 0.8805 0.9020
0.6910 0.2629 0.1568
0.7144 0.6470 0.6522
0.2516 0.2516 0.5033
0.1147 0.1147 0.2295
0.1353 0.6353 0.2705
0.8853 0.8853 0.7705
0.3647 0.8647 0.7295
0.9649 0.8866 0.4990
0.3876 0.0351 0.5010
0.8624 0.7149 0.9990
0.5342 0.6124 0.4990
0.7158 0.1376 0.0010
0.2851 0.8634 0.0010
0.1366 0.2842 0.9990
0.1134 0.4658 0.5010
0.4127 0.4127 0.8254
0.8373 0.3373 0.6746
0.6627 0.1627 0.3254
0.5873 0.5873 0.1746
```

total magnetic moment: 0.0 μB/cell
formation energy (no corrections): -54.827 eV per formula unit

# 3
Below is BaNb3F after structural relaxation, with properties calculated at the PBE level.

Geometry as POSCAR:
```
BaNb3F
1.0
4.6738 0.0000 0.0000
0.0000 4.6738 0.0000
0.0000 0.0000 4.6738
Nb F Ba
3 1 1
direct
0.5000 0.0000 0.0000
0.0000 0.0000 0.5000
0.0000 0.5000 0.0000
0.0000 0.0000 0.0000
0.5000 0.5000 0.5000
```

total magnetic moment: 0.0 μB/cell
formation energy (no corrections): 3.112 eV per formula unit

# 4
Below is BaNbF after structural relaxation, with properties calculated at the PBE level.

Geometry as POSCAR:
```
BaNbF
1.0
-2.5965 -0.6757 2.4035
-4.3338 -1.1186 -5.0001
4.6628 -5.3441 0.8192
Nb F Ba
2 2 2
direct
0.8798 0.4130 0.9879
0.5050 0.6484 0.2428
0.8965 0.1026 0.0219
0.7363 0.4953 0.7037
0.2906 0.8201 0.8123
0.0953 0.1990 0.4224
```

total magnetic moment: 0.0 μB/cell
formation energy (no corrections): -3.420 eV per formula unit

# 5
Below is BaNbF after structural relaxation, with properties calculated at the PBE level.

Geometry as POSCAR:
```
BaNbF
1.0
3.4456 0.0071 0.0293
0.0097 4.0383 0.0027
1.6062 2.0169 10.4420
Nb F Ba
2 2 2
direct
0.9755 0.9361 0.1986
0.4657 0.4361 0.1985
0.1544 0.7371 0.6039
0.5625 0.1420 0.7930
0.0202 0.6002 0.8768
0.6951 0.2789 0.5203
```

total magnetic moment: 0.0 μB/cell
formation energy (no corrections): -4.261 eV per formula unit

# 6
Below is BaNbF2 after structural relaxation, with properties calculated at the PBE level.

Geometry as POSCAR:
```
BaNbF2
1.0
-1.0195 -3.7142 3.1191
-1.2175 -2.8892 -3.8384
5.5089 -5.4979 -0.8087
F Nb Ba
4 2 2
direct
0.3750 0.5606 0.7500
0.4394 0.1250 0.2500
0.3106 0.6250 0.2500
0.8750 0.6894 0.7500
0.5000 0.5000 0.0000
0.2500 0.7500 0.5000
0.0000 0.0000 0.0000
0.7500 0.2500 0.5000
```

total magnetic moment: 2.0 μB/cell
formation energy (no corrections): -5.718 eV per formula unit

# 7
Below is BaNbF after structural relaxation, with properties calculated at the PBE level.

Geometry as POSCAR:
```
BaNbF
1.0
-2.6841 -1.7810 1.2257
2.4453 -1.9375 2.5398
-0.4500 8.1043 6.6156
Nb F Ba
2 2 2
direct
0.7352 0.7500 0.9860
0.2648 0.2500 0.0140
0.7102 0.2500 0.4058
0.2898 0.7500 0.5942
0.1738 0.7500 0.3202
0.8262 0.2500 0.6798
```

total magnetic moment: 0.0 μB/cell
formation energy (no corrections): -4.283 eV per formula unit

# 8
Below is BaNbF2 after structural relaxation, with properties calculated at the PBE level.

Geometry as POSCAR:
```
BaNbF2
1.0
0.0000 3.4611 3.4611
3.4611 0.0000 3.4611
3.4611 3.4611 0.0000
F Ba Nb
2 1 1
direct
0.7500 0.7500 0.7500
0.2500 0.2500 0.2500
0.5000 0.5000 0.5000
0.0000 0.0000 0.0000
```

total magnetic moment: 4.9 μB/cell
formation energy (no corrections): -4.114 eV per formula unit

# 9
Below is BaNbF after structural relaxation, with properties calculated at the PBE level.

Geometry as POSCAR:
```
BaNbF
1.0
-0.7459 -0.6877 3.3508
-4.6747 -3.8818 -2.0998
5.8921 -3.8136 -0.1306
Nb Ba F
2 2 2
direct
0.0538 0.0192 0.4992
0.7416 0.2668 0.7295
0.4885 0.4414 0.3005
0.4194 0.8282 0.9210
0.9354 0.5503 0.0339
0.9831 0.0852 0.1942
```

total magnetic moment: 0.0 μB/cell
formation energy (no corrections): -3.382 eV per formula unit

# 10
Below is BaNbF after structural relaxation, with properties calculated at the PBE level.

Geometry as POSCAR:
```
BaNbF
1.0
-0.9349 -0.9112 3.2070
-8.5870 -6.1118 -4.2397
4.5770 -6.0950 -0.4839
Nb Ba F
4 4 4
direct
0.0088 0.5000 0.1560
0.3909 0.0000 0.4025
0.3909 0.5000 0.9025
0.0088 0.0000 0.6560
0.8685 0.2938 0.5171
0.8685 0.7062 0.5171
0.8685 0.2062 0.0171
0.8685 0.7938 0.0171
0.3772 0.1821 0.2928
0.3772 0.8179 0.2928
0.3772 0.3179 0.7928
0.3772 0.6821 0.7928
```

total magnetic moment: 0.0 μB/cell
formation energy (no corrections): -3.426 eV per formula unit

# 11
Below is BaNb3F after structural relaxation, with properties calculated at the PBE level.

Geometry as POSCAR:
```
BaNb3F
1.0
5.1215 0.0000 0.0000
0.0000 5.1215 0.0000
0.0000 0.0000 5.1215
Ba Nb F
1 3 1
direct
0.0000 0.0000 0.0000
0.0000 0.0000 0.5000
0.0000 0.5000 0.0000
0.5000 0.0000 0.0000
0.5000 0.5000 0.5000
```

total magnetic moment: 0.0 μB/cell
formation energy (no corrections): 12.674 eV per formula unit

# 12
Below is BaNbF after structural relaxation, with properties calculated at the PBE level.

Geometry as POSCAR:
```
BaNbF
1.0
3.6771 0.0000 0.0000
0.0000 3.6771 0.0000
0.0000 0.0000 10.3691
Nb F Ba
2 2 2
direct
0.0000 0.5000 0.9589
0.5000 0.0000 0.0411
0.5000 0.0000 0.4092
0.0000 0.5000 0.5908
0.0000 0.5000 0.3155
0.5000 0.0000 0.6845
```

total magnetic moment: 1.0 μB/cell
formation energy (no corrections): -4.313 eV per formula unit

# 13
Below is BaNbF2 after structural relaxation, with properties calculated at the PBE level.

Geometry as POSCAR:
```
BaNbF2
1.0
-5.8407 -1.9395 6.4509
-6.2609 -4.4027 4.5723
-3.9419 -4.4134 6.6688
Ba F Nb
1 2 1
direct
0.0000 0.0000 0.0000
0.1081 0.1081 0.1081
0.8919 0.8919 0.8919
0.5000 0.5000 0.5000
```

total magnetic moment: 0.2 μB/cell
formation energy (no corrections): -4.362 eV per formula unit

# 14
Below is BaNbF2 after structural relaxation, with properties calculated at the PBE level.

Geometry as POSCAR:
```
BaNbF2
1.0
1.5445 8.0622 -0.1584
2.2816 7.2686 3.0614
4.5918 6.7781 0.6195
Nb F Ba
1 2 1
direct
0.0000 0.0000 0.0000
0.0886 0.0886 0.0886
0.9114 0.9114 0.9114
0.5000 0.5000 0.5000
```

total magnetic moment: 1.5 μB/cell
formation energy (no corrections): -6.494 eV per formula unit